1.
The following is a PBE calculation of an optimized crystal structure of YTm3Pu2Se6, from Alexandria.

Output
**Fermi-level density of states**: 17.89 states/eV/cell
**Mass density**: 9.0 g/cm3
**M_tot**: 11.9 μB/cell
**Formation energy without anion corrections**: -160.8 kJ/mol of atoms

Lattice parameters (Å, degrees): 4.048 8.183 9.116 103.44 102.83 90.00
Element x y z (fractional)
Y1 0.500 0.000 0.000
Tm1 0.500 0.500 0.000
Tm2 0.832 0.167 0.665
Tm3 0.168 0.833 0.335
Pu1 0.834 0.667 0.668
Pu2 0.166 0.333 0.332
Se1 0.332 0.924 0.665
Se2 0.665 0.589 0.329
Se3 0.668 0.076 0.335
Se4 0.997 0.253 0.993
Se5 0.003 0.747 0.007
Se6 0.335 0.411 0.671



2.
The following is a PBE calculation of an optimized crystal structure of CsTc3Pd, from Alexandria.

Output
**Fermi-level density of states**: 8.21 states/eV/cell
**ΔE_f**: 2.08 eV per atom
**Mass density**: 6.8 g/cm3
**E above lowest polymorph**: 0.000 kcal/mol of atoms
**M_tot**: 9.3 μB/cell

Lattice parameters (Å, degrees): 5.079 5.079 5.079 90.00 90.00 90.00
Element x y z (fractional)
Cs1 0.500 0.500 0.500
Tc1 0.000 0.500 0.000
Tc2 0.000 0.000 0.500
Tc3 0.500 0.000 0.000
Pd1 0.000 0.000 0.000



3.
The following is a PBE calculation of an optimized crystal structure of HoNpU2As4, from Alexandria.

Output
**Fermi-level density of states**: 18.30 states/eV/cell
**ΔE_f**: -0.92 eV per atom
**Mass density**: 10.1 g/cm3
**M_tot**: 8.9 μB/cell

Lattice parameters (Å, degrees): 4.069 7.062 7.154 109.16 90.00 90.00
Element x y z (fractional)
Ho1 0.500 0.500 0.000
Np1 0.000 0.000 0.000
U1 0.500 0.000 0.500
U2 0.000 0.500 0.500
As1 0.500 0.251 0.250
As2 0.500 0.749 0.750
As3 0.000 0.250 0.749
As4 0.000 0.750 0.251



4.
The following is a PBE calculation of an optimized crystal structure of CdFeAg2, from Alexandria.

Output
**Fermi-level density of states**: 2.41 states/eV/cell
**ΔE_f**: 0.21 eV per atom
**Mass density**: 9.3 g/cm3
**M_tot**: 2.7 μB/cell

Lattice parameters (Å, degrees): 2.889 2.889 8.191 90.00 90.00 90.03
Element x y z (fractional)
Ag1 0.000 0.000 0.984
Ag2 0.500 0.500 0.244
Cd1 0.000 0.000 0.516
Fe1 0.500 0.500 0.756



5.
The following is a PBE calculation of an optimized crystal structure of MnPt3Cl9, from Alexandria.

Output
**Mass density**: 3.6 g/cm3
**M_tot**: 8.0 μB/cell
**Formation energy without anion corrections**: -51.8 kJ/mol of atoms

Lattice parameters (Å, degrees): 8.728 11.530 10.485 77.50 65.40 67.76
Element x y z (fractional)
Mn1 0.876 0.606 0.994
Mn2 0.524 0.106 0.494
Pt1 0.882 0.402 0.715
Pt2 0.001 0.902 0.215
Pt3 0.854 0.879 0.924
Pt4 0.342 0.379 0.424
Pt5 0.689 0.194 0.751
Pt6 0.366 0.694 0.251
Cl1 0.639 0.256 0.328
Cl2 0.777 0.756 0.828
Cl3 0.683 0.317 0.902
Cl4 0.098 0.817 0.402
Cl5 0.283 0.201 0.418
Cl6 0.098 0.701 0.918
Cl7 0.604 0.565 0.087
Cl8 0.744 0.065 0.587
Cl9 0.705 0.924 0.350
Cl10 0.021 0.424 0.850
Cl11 0.370 0.009 0.674
Cl12 0.948 0.509 0.174
Cl13 0.417 0.549 0.431
Cl14 0.602 0.049 0.931
Cl15 0.756 0.355 0.585
Cl16 0.305 0.855 0.085
Cl17 0.936 0.999 0.020
Cl18 0.046 0.499 0.520



6.
The following is a PBE calculation of an optimized crystal structure of ZnSiPt2, from Alexandria.

Output
**Fermi-level density of states**: 2.03 states/eV/cell
**Mass density**: 12.4 g/cm3
**M_tot**: 0.0 μB/cell
**Formation energy without anion corrections**: -33.4 kJ/mol of atoms

Lattice parameters (Å, degrees): 6.895 6.895 5.585 51.89 51.89 90.00
Element x y z (fractional)
Zn1 0.000 0.000 0.000
Zn2 0.750 0.250 0.500
Si1 0.500 0.500 0.000
Si2 0.250 0.750 0.500
Pt1 0.578 0.125 0.250
Pt2 0.172 0.625 0.250
Pt3 0.375 0.422 0.750
Pt4 0.875 0.828 0.750



7.
The following is a PBE calculation of an optimized crystal structure of KZn2I, from Alexandria.

Output
**Fermi-level density of states**: 0.00 states/eV/cell
**Mass density**: 3.3 g/cm3
**E above lowest polymorph**: 1.536 kcal/mol of atoms
**M_tot**: 0.0 μB/cell
**Formation energy without anion corrections**: -9.7 kJ/mol of atoms

Lattice parameters (Å, degrees): 5.943 5.943 5.943 60.00 60.00 60.00
Element x y z (fractional)
I1 0.500 0.500 0.500
Zn1 0.250 0.250 0.250
Zn2 0.750 0.750 0.750
K1 0.000 0.000 0.000



8.
The following is a PBE calculation of an optimized crystal structure of Er3NbCo8, from Alexandria.

Output
**Fermi-level density of states**: 15.00 states/eV/cell
**ΔE_f**: -0.18 eV per atom
**Mass density**: 10.3 g/cm3
**M_tot**: 5.7 μB/cell

Lattice parameters (Å, degrees): 4.957 4.957 8.595 73.24 73.24 60.00
Element x y z (fractional)
Er1 0.375 0.375 0.876
Er2 0.999 0.999 0.004
Er3 0.501 0.501 0.497
Nb1 0.876 0.876 0.372
Co1 0.929 0.437 0.196
Co2 0.444 0.938 0.679
Co3 0.437 0.437 0.196
Co4 0.938 0.938 0.679
Co5 0.188 0.188 0.437
Co6 0.687 0.687 0.938
Co7 0.437 0.929 0.196
Co8 0.938 0.444 0.679



9.
The following is a PBE calculation of an optimized crystal structure of Tb2Hg8Pb, from Alexandria.

Output
**Fermi-level density of states**: 4.44 states/eV/cell
**ΔE_f**: -0.21 eV per atom
**Mass density**: 12.5 g/cm3
**M_tot**: 0.0 μB/cell

Lattice parameters (Å, degrees): 4.708 7.282 9.097 109.16 105.00 90.00
Element x y z (fractional)
Tb1 0.783 0.325 0.565
Tb2 0.217 0.675 0.435
Hg1 0.391 0.561 0.783
Hg2 0.663 0.897 0.326
Hg3 0.846 0.799 0.693
Hg4 0.961 0.285 0.923
Hg5 0.154 0.201 0.307
Hg6 0.337 0.103 0.674
Hg7 0.609 0.439 0.217
Hg8 0.039 0.715 0.077
Pb1 0.500 0.000 0.000



10.
The following is a PBE calculation of an optimized crystal structure of AcTb2Pt, from Alexandria.

Output
**Fermi-level density of states**: 5.90 states/eV/cell
**ΔE_f**: -0.39 eV per atom
**Mass density**: 8.5 g/cm3
**E above lowest polymorph**: 6.159 kcal/mol of atoms
**M_tot**: 0.0 μB/cell

Lattice parameters (Å, degrees): 3.960 3.960 10.941 79.57 79.57 60.00
Element x y z (fractional)
Ac1 0.000 0.000 0.000
Tb1 0.117 0.117 0.650
Tb2 0.883 0.883 0.350
Pt1 0.500 0.500 0.500



11.
The following is a PBE calculation of an optimized crystal structure of In2GaHgH, from Alexandria.

Output
**Fermi-level density of states**: 1.65 states/eV/cell
**Mass density**: 7.9 g/cm3
**E above lowest polymorph**: 1.467 kcal/mol of atoms
**M_tot**: 0.0 μB/cell

Lattice parameters (Å, degrees): 4.781 4.781 4.592 90.00 90.00 90.00
Element x y z (fractional)
H1 0.000 0.000 0.000
Hg1 0.500 0.500 0.500
Ga1 0.000 0.000 0.500
In1 0.000 0.500 0.000
In2 0.500 0.000 0.000



12.
The following is a PBE calculation of an optimized crystal structure of BaIn3Sn2, from Alexandria.

Output
**Fermi-level density of states**: 4.48 states/eV/cell
**ΔE_f**: -0.28 eV per atom
**Mass density**: 6.3 g/cm3
**E above lowest polymorph**: 0.000 kcal/mol of atoms
**M_tot**: 0.0 μB/cell

Lattice parameters (Å, degrees): 5.336 9.337 9.052 63.48 72.86 73.40
Element x y z (fractional)
Ba1 0.150 0.786 0.914
Ba2 0.850 0.214 0.086
In1 0.723 0.979 0.574
In2 0.044 0.278 0.633
In3 0.413 0.502 0.673
In4 0.587 0.498 0.327
In5 0.956 0.722 0.367
In6 0.277 0.021 0.426
Sn1 0.523 0.128 0.826
Sn2 0.477 0.872 0.174
Sn3 0.178 0.390 0.254
Sn4 0.822 0.610 0.746